# 1
Below is TbYGaTe3 after structural relaxation, with properties calculated at the PBE-GGA level.

abc: 7.9900 7.9900 10.4369
angles: 90.00 90.00 149.96
Fractional positions:
Ga  0.9741  0.0259  0.2500
Ga  0.0259  0.9741  0.7500
Tb  0.2760  0.7240  0.2500
Tb  0.7240  0.2760  0.7500
Te  0.8460  0.1540  0.0438
Te  0.6225  0.3775  0.2500
Te  0.8460  0.1540  0.4562
Te  0.1540  0.8460  0.5438
Te  0.3775  0.6225  0.7500
Te  0.1540  0.8460  0.9562
Y  0.5000  0.5000  0.0000
Y  0.5000  0.5000  0.5000

Values from the calculation:
Calculated total energy ... -4.9001 eV per atom
Magnetic moment ... 0.01 μB per formula unit



# 2
Below is TbPrGe2I2 after structural relaxation, with properties calculated at the PBE-GGA level.

abc: 4.3625 4.3625 12.2228
angles: 90.00 90.00 120.00
Fractional positions:
Ge  0.6667  0.3333  0.4945
Ge  0.3333  0.6667  0.5160
I  0.3333  0.6667  0.1695
I  0.6667  0.3333  0.8205
Pr  0.0000  0.0000  0.3406
Tb  0.0000  0.0000  0.6590

Values from the calculation:
Calculated total energy ... -4.6368 eV per atom
Magnetic moment ... 0.01 μB per formula unit



# 3
Below is LaNd2Cu2Ge4Ir2 after structural relaxation, with properties calculated at the PBE-GGA level.

abc: 12.7253 12.7253 12.7253
angles: 161.03 160.86 27.08
Fractional positions:
Cu  0.9034  0.4034  0.5000
Cu  0.0966  0.5966  0.5000
Ge  0.4482  0.4482  0.0000
Ge  0.5518  0.5518  0.0000
Ge  0.8056  0.3056  0.5000
Ge  0.1944  0.6944  0.5000
Ir  0.2496  0.2496  0.0000
Ir  0.7504  0.7504  0.0000
La  0.0000  0.0000  0.0000
Nd  0.6482  0.1482  0.5000
Nd  0.3518  0.8518  0.5000

Values from the calculation:
Calculated total energy ... -6.0073 eV per atom
Magnetic moment ... 0.01 μB per formula unit



# 4
Below is Si2Hg2O5 after structural relaxation, with properties calculated at the PBE-GGA level.

abc: 9.5363 3.4347 3.4347
angles: 90.00 90.00 90.00
Fractional positions:
Hg  0.0000  0.0000  0.0000
Hg  0.5000  0.0000  0.0000
O  0.2863  0.5000  0.0000
O  0.7137  0.5000  0.0000
O  0.2863  0.0000  0.5000
O  0.7137  0.0000  0.5000
O  0.5000  0.5000  0.5000
Si  0.3077  0.5000  0.5000
Si  0.6923  0.5000  0.5000

Values from the calculation:
Calculated total energy ... -5.3244 eV per atom
Energy relative to the lowest polymorph listed for this composition ... 0 meV/atom



# 5
Below is RbHoU after structural relaxation, with properties calculated at the PBE-GGA level.

abc: 5.8496 5.8496 5.8496
angles: 60.00 60.00 60.00
Fractional positions:
Ho  0.2500  0.2500  0.2500
Rb  0.7500  0.7500  0.7500
U  0.0000  0.0000  0.0000

Values from the calculation:
Calculated total energy ... -3.6018 eV per atom
Magnetic moment ... 6.15 μB per formula unit



# 6
Below is TaPb2SO6 after structural relaxation, with properties calculated at the PBE-GGA level.

abc: 5.5995 5.5995 5.5995
angles: 62.48 62.48 62.48
Last column: magnetic moment on the atom in μB.
Fractional positions:
O  0.3079  0.7710  0.1817  0.03
O  0.8183  0.6921  0.2290  0.03
O  0.7710  0.1817  0.3079  0.02
O  0.2290  0.8183  0.6921  0.02
O  0.1817  0.3079  0.7710  0.03
O  0.6921  0.2290  0.8183  0.03
Pb  0.2497  0.2497  0.2497  0.00
Pb  0.7503  0.7503  0.7503  0.00
S  0.5000  0.5000  0.5000  0.25
Ta  0.0000  0.0000  0.0000  0.07

Values from the calculation:
Calculated total energy ... -6.5269 eV per atom
Magnetic moment ... 0.63 μB per formula unit
Energy relative to the lowest polymorph listed for this composition ... 74 meV/atom



# 7
Below is LiCuTePtSe2 after structural relaxation, with properties calculated at the PBE-GGA level.

abc: 6.4671 6.4671 10.4274
angles: 90.00 90.00 145.88
Fractional positions:
Cu  0.4474  0.5526  0.2500
Cu  0.5526  0.4474  0.7500
Li  0.7826  0.2174  0.2500
Li  0.2174  0.7826  0.7500
Pt  0.0000  0.0000  0.0000
Pt  0.0000  0.0000  0.5000
Se  0.3654  0.6346  0.0413
Se  0.3654  0.6346  0.4587
Se  0.6346  0.3654  0.5413
Se  0.6346  0.3654  0.9587
Te  0.0915  0.9085  0.2500
Te  0.9085  0.0915  0.7500

Values from the calculation:
Calculated total energy ... -3.9853 eV per atom
Magnetic moment ... 0.00 μB per formula unit



# 8
Below is SrZrPO after structural relaxation, with properties calculated at the PBE-GGA level.

abc: 4.5850 4.5850 8.7599
angles: 90.00 90.00 90.00
Last column: magnetic moment on the atom in μB.
Fractional positions:
O  0.0000  0.0000  0.0000  -0.11
O  0.5000  0.5000  0.0000  -0.11
P  0.0000  0.5000  0.3670  0.00
P  0.5000  0.0000  0.6330  0.00
Sr  0.5000  0.0000  0.0933  0.00
Sr  0.0000  0.5000  0.9067  0.00
Zr  0.0000  0.0000  0.5000  0.00
Zr  0.5000  0.5000  0.5000  0.00

Values from the calculation:
Calculated total energy ... -6.6666 eV per atom
Magnetic moment ... 0.13 μB per formula unit
Energy relative to the lowest polymorph listed for this composition ... 279 meV/atom



# 9
Below is Lu2MgAg after structural relaxation, with properties calculated at the PBE-GGA level.

abc: 5.1030 5.1030 5.1030
angles: 60.00 60.00 60.00
Fractional positions:
Ag  0.7500  0.7500  0.7500
Lu  0.2500  0.2500  0.2500
Lu  0.5000  0.5000  0.5000
Mg  0.0000  0.0000  0.0000

Values from the calculation:
Calculated total energy ... -3.3237 eV per atom
Magnetic moment ... 0.01 μB per formula unit



# 10
Below is FeSnBi after structural relaxation, with properties calculated at the PBE-GGA level.

abc: 4.6742 4.6742 4.6742
angles: 60.00 60.00 60.00
Fractional positions:
Bi  0.2500  0.2500  0.2500
Fe  0.0000  0.0000  0.0000
Sn  0.7500  0.7500  0.7500

Values from the calculation:
Calculated total energy ... -5.1416 eV per atom
Magnetic moment ... 2.50 μB per formula unit
Energy relative to the lowest polymorph listed for this composition ... 0 meV/atom



# 11
Below is LiHgTe after structural relaxation, with properties calculated at the PBE-GGA level.

abc: 4.6941 4.6941 4.6941
angles: 60.00 60.00 60.00
Fractional positions:
Hg  0.2500  0.2500  0.2500
Li  0.0000  0.0000  0.0000
Te  0.7500  0.7500  0.7500

Values from the calculation:
Calculated total energy ... -2.2068 eV per atom
Energy relative to the lowest polymorph listed for this composition ... 0 meV/atom



# 12
Below is AcTe2Pd2 after structural relaxation, with properties calculated at the PBE-GGA level.

abc: 4.4132 4.4132 7.1315
angles: 108.02 108.02 90.00
Fractional positions:
Ac  0.0000  0.0000  0.0000
Pd  0.7500  0.2500  0.5000
Pd  0.2500  0.7500  0.5000
Te  0.6275  0.6275  0.2550
Te  0.3725  0.3725  0.7450

Values from the calculation:
Calculated total energy ... -4.9747 eV per atom
Magnetic moment ... 0.00 μB per formula unit
Energy relative to the lowest polymorph listed for this composition ... 0 meV/atom



# 13
Below is BeSnTeMo after structural relaxation, with properties calculated at the PBE-GGA level.

abc: 4.8023 4.8023 4.8023
angles: 60.00 60.00 60.00
Fractional positions:
Be  0.7500  0.7500  0.7500
Mo  0.5000  0.5000  0.5000
Sn  0.0000  0.0000  0.0000
Te  0.2500  0.2500  0.2500

Values from the calculation:
Calculated total energy ... -4.5273 eV per atom
Magnetic moment ... 1.93 μB per formula unit
Energy relative to the lowest polymorph listed for this composition ... 204 meV/atom



# 14
Below is Re2Ni11 after structural relaxation, with properties calculated at the PBE-GGA level.

abc: 8.7024 8.7024 8.7024
angles: 30.55 30.55 30.55
Last column: magnetic moment on the atom in μB.
Fractional positions:
Ni  0.0000  0.0000  0.0000  0.68
Ni  0.5868  0.0906  0.0906  0.20
Ni  0.0906  0.5868  0.0906  0.24
Ni  0.1666  0.1666  0.1666  0.34
Ni  0.3472  0.3472  0.3472  0.35
Ni  0.9094  0.9094  0.4132  0.21
Ni  0.0906  0.0906  0.5868  0.21
Ni  0.6528  0.6528  0.6528  0.35
Ni  0.8334  0.8334  0.8334  0.34
Ni  0.9094  0.4132  0.9094  0.24
Ni  0.4132  0.9094  0.9094  0.20
Re  0.4526  0.4526  0.4526  0.07
Re  0.5474  0.5474  0.5474  0.07

Values from the calculation:
ΔE_f ... 0.104 eV/atom
Calculated total energy ... -6.5188 eV per atom
Magnetic moment ... 3.41 μB per formula unit
Energy relative to the lowest polymorph listed for this composition ... 0 meV/atom



# 15
Below is PrGe2Pt after structural relaxation, with properties calculated at the PBE-GGA level.

abc: 3.5222 7.3898 6.6611
angles: 90.00 90.00 90.00
Fractional positions:
Ge  0.5000  0.7538  0.1756
Ge  0.0000  0.1422  0.3222
Ge  0.5000  0.2462  0.6756
Ge  0.0000  0.8578  0.8222
Pr  0.0000  0.5707  0.4989
Pr  0.0000  0.4293  0.9989
Pt  0.5000  0.0610  0.0033
Pt  0.5000  0.9390  0.5033

Values from the calculation:
Calculated total energy ... -5.4755 eV per atom
Magnetic moment ... 0.00 μB per formula unit



# 16
Below is Mg2Al3Pd2 after structural relaxation, with properties calculated at the PBE-GGA level.

abc: 5.1204 5.1204 6.7674
angles: 109.74 109.74 47.31
Fractional positions:
Al  0.5000  0.5000  0.0000
Al  0.6333  0.6333  0.4499
Al  0.3667  0.3667  0.5501
Mg  0.8477  0.8477  0.2089
Mg  0.1523  0.1523  0.7911
Pd  0.1332  0.1332  0.2041
Pd  0.8668  0.8668  0.7959

Values from the calculation:
Calculated total energy ... -4.1241 eV per atom



# 17
Below is SrGdPO after structural relaxation, with properties calculated at the PBE-GGA level.

abc: 4.4745 7.3631 6.4324
angles: 90.00 90.00 90.00
Fractional positions:
Gd  0.0000  0.3822  0.0303
Gd  0.0000  0.6178  0.5303
O  0.0000  0.3529  0.3717
O  0.0000  0.6471  0.8717
P  0.5000  0.7896  0.4110
P  0.5000  0.2104  0.9110
Sr  0.5000  0.1942  0.4411
Sr  0.5000  0.8058  0.9411

Values from the calculation:
Calculated total energy ... -6.2190 eV per atom
Magnetic moment ... 0.00 μB per formula unit
Energy relative to the lowest polymorph listed for this composition ... 0 meV/atom



# 18
Below is UAlCo after structural relaxation, with properties calculated at the PBE-GGA level.

abc: 4.3797 4.3797 5.9095
angles: 90.00 90.00 120.00
Last column: magnetic moment on the atom in μB.
Fractional positions:
Al  0.3333  0.6667  0.4994  0.00
Al  0.6667  0.3333  0.9994  0.00
Co  0.3333  0.6667  0.0009  -0.23
Co  0.6667  0.3333  0.5009  -0.23
U  0.0000  0.0000  0.2498  1.60
U  0.0000  0.0000  0.7498  1.64

Values from the calculation:
Calculated total energy ... -7.5415 eV per atom
Magnetic moment ... 1.55 μB per formula unit



# 19
Below is NiGeSb after structural relaxation, with properties calculated at the PBE-GGA level.

abc: 4.3179 4.3179 4.3179
angles: 60.00 60.00 60.00
Fractional positions:
Ge  0.2500  0.2500  0.2500
Ni  0.0000  0.0000  0.0000
Sb  0.7500  0.7500  0.7500

Values from the calculation:
Calculated total energy ... -4.8685 eV per atom
Magnetic moment ... 0.00 μB per formula unit
Energy relative to the lowest polymorph listed for this composition ... 0 meV/atom



# 20
Below is AgI6Cl after structural relaxation, with properties calculated at the PBE-GGA level.

abc: 7.5743 7.5743 7.5743
angles: 60.00 60.00 60.00
Fractional positions:
Ag  0.0000  0.0000  0.0000
Cl  0.7500  0.7500  0.7500
I  0.7378  0.2622  0.2622
I  0.2622  0.7378  0.2622
I  0.7378  0.7378  0.2622
I  0.7378  0.2622  0.7378
I  0.2622  0.7378  0.7378
I  0.2622  0.2622  0.7378

Values from the calculation:
Calculated total energy ... -1.4369 eV per atom



# 21
Below is K2HfOsO6 after structural relaxation, with properties calculated at the PBE-GGA level.

abc: 5.6441 5.6441 5.6440
angles: 119.95 119.95 60.05
Last column: magnetic moment on the atom in μB.
Fractional positions:
Hf  0.5000  0.5000  0.5000  0.01
K  0.7500  0.7500  0.2498  0.00
K  0.2500  0.2500  0.7502  0.00
O  0.7586  0.2403  0.2407  0.01
O  0.2403  0.7586  0.2407  0.02
O  0.2410  0.2410  0.2415  0.02
O  0.7590  0.7590  0.7585  0.02
O  0.7597  0.2414  0.7593  0.02
O  0.2414  0.7597  0.7593  0.01
Os  0.0000  0.0000  0.0000  0.27

Values from the calculation:
Calculated total energy ... -7.3499 eV per atom
Magnetic moment ... 0.43 μB per formula unit
Energy relative to the lowest polymorph listed for this composition ... 0 meV/atom



# 22
Below is TbMgAgSeS2 after structural relaxation, with properties calculated at the PBE-GGA level.

abc: 6.7213 6.7213 10.7695
angles: 90.00 90.00 147.03
Fractional positions:
Ag  0.0157  0.9843  0.2500
Ag  0.9843  0.0157  0.7500
Mg  0.7189  0.2811  0.2500
Mg  0.2811  0.7189  0.7500
S  0.1412  0.8588  0.0752
S  0.1412  0.8588  0.4248
S  0.8588  0.1412  0.5752
S  0.8588  0.1412  0.9248
Se  0.3740  0.6260  0.2500
Se  0.6260  0.3740  0.7500
Tb  0.5000  0.5000  0.0000
Tb  0.5000  0.5000  0.5000

Values from the calculation:
Calculated total energy ... -4.5958 eV per atom
Magnetic moment ... 0.00 μB per formula unit



# 23
Below is Pr5B after structural relaxation, with properties calculated at the PBE-GGA level.

abc: 6.2099 6.2099 6.1540
angles: 90.00 90.00 120.00
Fractional positions:
B  0.0000  0.0000  0.0000
Pr  0.6667  0.3333  0.0000
Pr  0.3333  0.6667  0.0000
Pr  0.5000  0.0000  0.5000
Pr  0.0000  0.5000  0.5000
Pr  0.5000  0.5000  0.5000

Values from the calculation:
Calculated total energy ... -3.8970 eV per atom
Magnetic moment ... 0.01 μB per formula unit



# 24
Below is NbAuNO after structural relaxation, with properties calculated at the PBE-GGA level.

abc: 3.4142 5.9790 5.7600
angles: 90.00 90.00 90.00
Fractional positions:
Au  0.5000  0.0331  0.2576
Au  0.5000  0.5331  0.7424
N  0.0000  0.7919  0.3708
N  0.0000  0.2919  0.6292
Nb  0.0000  0.4597  0.3388
Nb  0.0000  0.9597  0.6612
O  0.5000  0.4693  0.1559
O  0.5000  0.9693  0.8441

Values from the calculation:
Calculated total energy ... -7.2295 eV per atom
Magnetic moment ... 0.00 μB per formula unit
Energy relative to the lowest polymorph listed for this composition ... 247 meV/atom



# 25
Below is RbReNO after structural relaxation, with properties calculated at the PBE-GGA level.

abc: 6.2566 9.0532 5.0215
angles: 90.00 90.00 90.00
Last column: magnetic moment on the atom in μB.
Fractional positions:
N  0.0730  0.3097  0.0140  0.00
N  0.5730  0.6903  0.0140  0.00
N  0.4270  0.3097  0.5140  0.00
N  0.9270  0.6903  0.5140  0.00
O  0.4180  0.0042  0.1562  0.01
O  0.9180  0.9958  0.1562  0.01
O  0.0820  0.0042  0.6562  0.01
O  0.5820  0.9958  0.6562  0.01
Rb  0.5805  0.3551  0.0164  0.00
Rb  0.0805  0.6449  0.0164  0.00
Rb  0.9195  0.3551  0.5164  0.00
Rb  0.4195  0.6449  0.5164  0.00
Re  0.1504  0.1256  0.0158  0.19
Re  0.6504  0.8744  0.0158  0.19
Re  0.3496  0.1256  0.5158  0.17
Re  0.8496  0.8744  0.5158  0.17

Values from the calculation:
Calculated total energy ... -7.1009 eV per atom
Magnetic moment ... 0.24 μB per formula unit
Energy relative to the lowest polymorph listed for this composition ... 110 meV/atom